1.
# Rb2NaGa12Pt3

Rb2NaGa12Pt3 after structural relaxation (PBE, Alexandria via LeMat-Bulk).

## Properties
Formation enthalpy at 0 K in kJ/mol of atoms: -8.76
Fermi-level density of states in states/eV/cell: 7.4

Structure (POSCAR):
```
Rb2NaGa12Pt3
1.0
8.094 -0.914 -0.648
3.202 7.489 -0.648
3.202 1.864 7.282
Pt Na Ga Rb
3 1 12 2
direct
0.000 0.000 0.500 Pt
0.000 0.500 0.000 Pt
0.500 0.000 0.000 Pt
0.000 0.000 0.000 Na
0.747 0.084 0.747 Ga
0.916 0.253 0.253 Ga
0.867 0.345 0.867 Ga
0.655 0.133 0.133 Ga
0.133 0.133 0.655 Ga
0.253 0.916 0.253 Ga
0.747 0.747 0.084 Ga
0.867 0.867 0.345 Ga
0.133 0.655 0.133 Ga
0.345 0.867 0.867 Ga
0.253 0.253 0.916 Ga
0.084 0.747 0.747 Ga
0.604 0.604 0.604 Rb
0.396 0.396 0.396 Rb
```

2.
# Rb2NaGaPt

Rb2NaGaPt after structural relaxation (PBE, Alexandria via LeMat-Bulk).

## Properties
Formation enthalpy at 0 K in kJ/mol of atoms: -7.17
Fermi-level density of states in states/eV/cell: 3.4

Structure (POSCAR):
```
Rb2NaGaPt
1.0
6.632 0.000 0.000
0.000 6.632 0.000
0.000 0.000 4.865
Rb Pt Ga Na
2 1 1 1
direct
0.000 0.500 0.000 Rb
0.500 0.000 0.000 Rb
0.000 0.000 0.000 Pt
0.000 0.000 0.500 Ga
0.500 0.500 0.500 Na
```

3.
# NaGaPtRh

NaGaPtRh after structural relaxation (PBE, Alexandria via LeMat-Bulk).

## Properties
Formation enthalpy at 0 K in kJ/mol of atoms: -25.90
Fermi-level density of states in states/eV/cell: 2.1

Structure (POSCAR):
```
NaGaPtRh
1.0
-2.811 0.050 -3.387
-4.094 -1.534 0.515
-3.409 2.785 0.010
Rh Pt Na Ga
1 1 1 1
direct
0.250 0.250 0.250 Rh
0.750 0.750 0.750 Pt
0.000 0.000 0.000 Na
0.500 0.500 0.500 Ga
```

4.
# Na2GaSi3Pt4

Na2GaSi3Pt4 after structural relaxation (PBE, Alexandria via LeMat-Bulk).

## Properties
Formation energy (no corrections) in eV per formula unit: -6.4
Fermi-level density of states in states/eV/cell: 4.0

Structure (POSCAR):
```
Na2GaSi3Pt4
1.0
-4.152 0.989 0.306
-0.838 -2.470 -3.392
-1.382 -7.621 5.892
Pt Si Na Ga
4 3 2 1
direct
0.000 0.500 0.366 Pt
0.500 0.000 0.634 Pt
0.500 0.500 0.000 Pt
0.000 0.000 0.000 Pt
0.000 0.500 0.123 Si
0.500 0.000 0.877 Si
0.000 0.000 0.500 Si
0.000 0.500 0.751 Na
0.500 0.000 0.249 Na
0.500 0.500 0.500 Ga
```

5.
# Na2GaSi2Pt5

Na2GaSi2Pt5 after structural relaxation (PBE, Alexandria via LeMat-Bulk).

## Properties
Formation energy (no corrections) in eV per formula unit: -6.3
Fermi-level density of states in states/eV/cell: 4.3

Structure (POSCAR):
```
Na2GaSi2Pt5
1.0
-0.774 1.867 1.952
-9.559 1.303 -5.039
-4.253 -8.029 5.993
Na Pt Ga Si
4 10 2 4
direct
0.000 0.826 0.674 Na
0.000 0.326 0.826 Na
0.000 0.674 0.174 Na
0.000 0.174 0.326 Na
0.500 0.066 0.803 Pt
0.500 0.303 0.566 Pt
0.500 0.934 0.197 Pt
0.500 0.697 0.434 Pt
0.500 0.197 0.066 Pt
0.500 0.434 0.303 Pt
0.500 0.566 0.697 Pt
0.500 0.500 0.000 Pt
0.500 0.000 0.500 Pt
0.500 0.803 0.934 Pt
0.000 0.500 0.500 Ga
0.000 0.000 0.000 Ga
0.000 0.633 0.867 Si
0.000 0.867 0.367 Si
0.000 0.367 0.133 Si
0.000 0.133 0.633 Si
```

6.
# Na2Ga3SiPt4

Na2Ga3SiPt4 after structural relaxation (PBE, Alexandria via LeMat-Bulk).

## Properties
Formation energy (no corrections) in eV per formula unit: -5.9
Fermi-level density of states in states/eV/cell: 3.5

Structure (POSCAR):
```
Na2Ga3SiPt4
1.0
-3.892 1.411 -0.574
-1.492 -3.209 2.224
0.784 5.756 8.830
Pt Ga Na Si
4 3 2 1
direct
0.000 0.000 0.000 Pt
0.500 0.500 0.000 Pt
0.500 0.000 0.626 Pt
0.000 0.500 0.374 Pt
0.500 0.000 0.863 Ga
0.000 0.500 0.137 Ga
0.000 0.000 0.500 Ga
0.000 0.500 0.754 Na
0.500 0.000 0.246 Na
0.500 0.500 0.500 Si
```

7.
# NaGaSnPt

NaGaSnPt after structural relaxation (PBE, Alexandria via LeMat-Bulk).

## Properties
Formation enthalpy at 0 K in kJ/mol of atoms: -26.39
Fermi-level density of states in states/eV/cell: 2.0

Structure (POSCAR):
```
NaGaSnPt
1.0
4.729 0.000 0.000
2.364 4.095 0.000
2.364 1.365 3.861
Pt Sn Na Ga
1 1 1 1
direct
0.750 0.750 0.750 Pt
0.500 0.500 0.500 Sn
0.250 0.250 0.250 Na
0.000 0.000 0.000 Ga
```

8.
# NaGaSnPt2

NaGaSnPt2 after structural relaxation (PBE, Alexandria via LeMat-Bulk).

## Properties
Formation enthalpy at 0 K in kJ/mol of atoms: 99.50
Fermi-level density of states in states/eV/cell: 3.8

Structure (POSCAR):
```
NaGaSnPt2
1.0
4.842 0.000 0.000
0.000 5.039 0.000
0.000 0.000 4.842
Na Sn Ga Pt
1 1 1 2
direct
0.000 0.000 0.000 Na
0.000 0.500 0.000 Sn
0.500 0.500 0.500 Ga
0.000 0.000 0.500 Pt
0.500 0.000 0.000 Pt
```

9.
# NaSrGa2Pt

NaSrGa2Pt after structural relaxation (PBE, Alexandria via LeMat-Bulk).

## Properties
Formation enthalpy at 0 K in kJ/mol of atoms: -34.24
Fermi-level density of states in states/eV/cell: 3.6

Structure (POSCAR):
```
NaSrGa2Pt
1.0
-0.009 -4.271 -2.382
4.777 0.502 -0.917
1.136 -2.533 4.535
Na Sr Ga Pt
1 1 2 1
direct
0.000 0.000 0.500 Na
0.500 0.500 0.500 Sr
0.500 0.000 0.000 Ga
0.000 0.500 0.000 Ga
0.000 0.000 0.000 Pt
```

10.
# NaSrGa2Pt2

NaSrGa2Pt2 after structural relaxation (PBE, Alexandria via LeMat-Bulk).

## Properties
Formation enthalpy at 0 K in kJ/mol of atoms: -63.73
Fermi-level density of states in states/eV/cell: 3.4

Structure (POSCAR):
```
NaSrGa2Pt2
1.0
-3.380 0.535 2.921
-0.717 -2.111 -3.908
1.666 -6.260 3.075
Pt Ga Na Sr
2 2 1 1
direct
0.333 0.667 0.701 Pt
0.667 0.333 0.299 Pt
0.667 0.333 0.679 Ga
0.333 0.667 0.321 Ga
0.000 0.000 0.500 Na
0.000 0.000 0.000 Sr
```

11.
# NaSr2GaPt

NaSr2GaPt after structural relaxation (PBE, Alexandria via LeMat-Bulk).

## Properties
Formation enthalpy at 0 K in kJ/mol of atoms: -43.28
Fermi-level density of states in states/eV/cell: 3.8

Structure (POSCAR):
```
NaSr2GaPt
1.0
5.988 0.000 0.000
0.000 5.988 0.000
0.000 0.000 4.883
Sr Pt Ga Na
2 1 1 1
direct
0.500 0.000 0.000 Sr
0.000 0.500 0.000 Sr
0.000 0.000 0.000 Pt
0.000 0.000 0.500 Ga
0.500 0.500 0.500 Na
```

12.
# NaSr2Ga3Pt4

NaSr2Ga3Pt4 after structural relaxation (PBE, Alexandria via LeMat-Bulk).

## Properties
Formation enthalpy at 0 K in kJ/mol of atoms: -71.27
Fermi-level density of states in states/eV/cell: 5.4

Structure (POSCAR):
```
NaSr2Ga3Pt4
1.0
-1.982 -1.625 -3.394
3.670 -1.682 -1.338
-2.229 -9.526 5.864
Ga Na Pt Sr
3 1 4 2
direct
0.000 0.500 0.126 Ga
0.000 0.000 0.500 Ga
0.500 0.000 0.874 Ga
0.500 0.500 0.500 Na
0.500 0.000 0.652 Pt
0.500 0.500 0.000 Pt
0.000 0.500 0.348 Pt
0.000 0.000 0.000 Pt
0.500 0.000 0.246 Sr
0.000 0.500 0.754 Sr
```

13.
# NaTbGa2Pt2

NaTbGa2Pt2 after structural relaxation (PBE, Alexandria via LeMat-Bulk).

## Properties
Formation enthalpy at 0 K in kJ/mol of atoms: -71.84
Fermi-level density of states in states/eV/cell: 3.7

Structure (POSCAR):
```
NaTbGa2Pt2
1.0
4.419 0.000 0.000
-2.210 3.827 0.000
0.000 0.000 6.858
Tb Pt Na Ga
1 2 1 2
direct
0.000 0.000 0.000 Tb
0.333 0.667 0.746 Pt
0.667 0.333 0.254 Pt
0.000 0.000 0.500 Na
0.667 0.333 0.716 Ga
0.333 0.667 0.284 Ga
```

14.
# NaThGa2Pt2

NaThGa2Pt2 after structural relaxation (PBE, Alexandria via LeMat-Bulk).

## Properties
Formation enthalpy at 0 K in kJ/mol of atoms: -72.55
Fermi-level density of states in states/eV/cell: 3.0

Structure (POSCAR):
```
NaThGa2Pt2
1.0
-3.520 2.020 1.672
-0.446 -3.864 -2.032
1.097 -3.683 6.762
Pt Ga Th Na
2 2 1 1
direct
0.667 0.333 0.222 Pt
0.333 0.667 0.778 Pt
0.333 0.667 0.270 Ga
0.667 0.333 0.730 Ga
0.000 0.000 0.000 Th
0.000 0.000 0.500 Na
```

15.
# NaTl2GaPt

NaTl2GaPt after structural relaxation (PBE, Alexandria via LeMat-Bulk).

## Properties
Formation enthalpy at 0 K in kJ/mol of atoms: -6.91
Fermi-level density of states in states/eV/cell: 2.7

Structure (POSCAR):
```
NaTl2GaPt
1.0
-1.759 5.061 -1.084
-5.160 -1.805 -0.056
-0.365 0.895 4.774
Na Pt Tl Ga
1 1 2 1
direct
0.500 0.500 0.500 Na
0.000 0.000 0.000 Pt
0.500 0.000 0.000 Tl
0.000 0.500 0.000 Tl
0.000 0.000 0.500 Ga
```

16.
# Na2Zn2GaPt5

Na2Zn2GaPt5 after structural relaxation (PBE, Alexandria via LeMat-Bulk).

## Properties
Formation enthalpy at 0 K in kJ/mol of atoms: -39.14
Fermi-level density of states in states/eV/cell: 6.1

Structure (POSCAR):
```
Na2Zn2GaPt5
1.0
-0.308 3.788 -0.118
-4.397 -0.099 8.282
8.247 0.807 4.388
Ga Zn Pt Na
2 4 10 4
direct
0.000 0.000 0.000 Ga
0.000 0.500 0.500 Ga
0.000 0.127 0.627 Zn
0.000 0.373 0.127 Zn
0.000 0.873 0.373 Zn
0.000 0.627 0.873 Zn
0.500 0.435 0.300 Pt
0.500 0.300 0.565 Pt
0.500 0.500 0.000 Pt
0.500 0.565 0.700 Pt
0.500 0.200 0.065 Pt
0.500 0.935 0.200 Pt
0.500 0.800 0.935 Pt
0.500 0.700 0.435 Pt
0.500 0.000 0.500 Pt
0.500 0.065 0.800 Pt
0.000 0.173 0.327 Na
0.000 0.827 0.673 Na
0.000 0.327 0.827 Na
0.000 0.673 0.173 Na
```

17.
# NaZnGa2Pt

NaZnGa2Pt after structural relaxation (PBE, Alexandria via LeMat-Bulk).

## Properties
Formation enthalpy at 0 K in kJ/mol of atoms: -23.48
Fermi-level density of states in states/eV/cell: 2.5

Structure (POSCAR):
```
NaZnGa2Pt
1.0
-0.765 -1.105 -4.647
4.659 -1.211 -0.479
-1.081 -4.666 1.287
Ga Pt Zn Na
2 1 1 1
direct
0.000 0.500 0.000 Ga
0.500 0.000 0.000 Ga
0.000 0.000 0.000 Pt
0.000 0.000 0.500 Zn
0.500 0.500 0.500 Na
```

18.
# NaZn2Ga4Pt

NaZn2Ga4Pt after structural relaxation (PBE, Alexandria via LeMat-Bulk).

## Properties
Formation enthalpy at 0 K in kJ/mol of atoms: -17.64
Fermi-level density of states in states/eV/cell: 2.2

Structure (POSCAR):
```
NaZn2Ga4Pt
1.0
4.311 0.000 0.000
2.156 3.734 0.000
2.156 1.245 9.533
Na Ga Zn Pt
1 4 2 1
direct
0.000 0.000 0.000 Na
0.133 0.133 0.600 Ga
0.592 0.592 0.225 Ga
0.867 0.867 0.400 Ga
0.408 0.408 0.775 Ga
0.269 0.269 0.194 Zn
0.731 0.731 0.806 Zn
0.500 0.500 0.500 Pt
```

19.
# NaZr2GaPt

NaZr2GaPt after structural relaxation (PBE, Alexandria via LeMat-Bulk).

## Properties
Formation enthalpy at 0 K in kJ/mol of atoms: 30.05
Fermi-level density of states in states/eV/cell: 7.2

Structure (POSCAR):
```
NaZr2GaPt
1.0
-3.912 1.383 3.075
-3.416 -2.188 -3.361
0.394 -4.490 2.522
Zr Ga Pt Na
2 1 1 1
direct
0.000 0.000 0.500 Zr
0.500 0.000 0.000 Zr
0.500 0.500 0.500 Ga
0.000 0.000 0.000 Pt
0.000 0.500 0.000 Na
```

20.
# Na2PuGa6

Na2PuGa6 after structural relaxation (PBE, Alexandria via LeMat-Bulk).

## Properties
Formation enthalpy at 0 K in kJ/mol of atoms: -18.42
Fermi-level density of states in states/eV/cell: 8.7

Structure (POSCAR):
```
Na2PuGa6
1.0
3.373 0.000 0.000
0.000 6.868 3.951
-0.002 0.015 7.923
Na Ga Pu
2 6 1
direct
0.000 0.667 0.667 Na
0.000 0.333 0.333 Na
0.500 0.664 0.336 Ga
0.501 0.336 0.000 Ga
0.499 0.664 0.000 Ga
0.501 0.000 0.336 Ga
0.500 0.336 0.664 Ga
0.499 0.000 0.664 Ga
0.000 0.000 0.000 Pu
```